(1)
Density functional theory data (PBE) for a relaxed structure of CsVSi2.

Results
The excess energy over the best structure of this formula in the dataset comes out at 878 meV per atom. For the energy relative to the elements, uncorrected, the calculation gives 1.37 eV per atom.

Unit cell a=7.0303 b=7.0303 c=7.0303 alpha=90.00 beta=90.00 gamma=90.00
Space group Fm-3m (No. 225)
Inequivalent atoms, fractional coordinates:
Cs (0.0000, 0.0000, 0.0000)
V (0.0000, 0.0000, 0.5000)
Si (0.2500, 0.2500, 0.2500)


(2)
Density functional theory data (PBE) for a relaxed structure of U2AlSi4Ir3.

Results
For the energy relative to the elements, uncorrected, the calculation gives -0.67 eV per atom.

Unit cell a=4.0689 b=4.0689 c=10.2073 alpha=90.00 beta=90.00 gamma=90.00
Space group P-4m2 (No. 115)
Inequivalent atoms, fractional coordinates:
U (0.0000, 0.5000, 0.2447)
Al (0.0000, 0.0000, 0.5000)
Si (0.0000, 0.0000, 0.0000)
Si (0.0000, 0.5000, 0.6421)
Si (0.5000, 0.5000, 0.0000)
Ir (0.0000, 0.5000, 0.8730)
Ir (0.5000, 0.5000, 0.5000)


(3)
Density functional theory data (PBE) for a relaxed structure of DyAl4CuPd2.

Results
The calculation puts the formation energy at -615.6 meV per atom.

Unit cell a=4.2549 b=4.2549 c=26.0142 alpha=90.00 beta=90.00 gamma=120.00
Space group R-3m (No. 166, hexagonal axes)
Inequivalent atoms, fractional coordinates:
Dy (0.0000, 0.0000, 0.0000)
Al (0.0000, 0.0000, 0.1322)
Al (0.0000, 0.0000, 0.4028)
Cu (0.0000, 0.0000, 0.5000)
Pd (0.0000, 0.0000, 0.2377)


(4)
Density functional theory data (PBE) for a relaxed structure of Y4As2N.

Results
For the energy relative to the elements, uncorrected, the calculation gives -1.17 eV per atom.

Unit cell a=4.5368 b=4.5368 c=15.3327 alpha=90.00 beta=90.00 gamma=90.00
Space group I4/mmm (No. 139)
Inequivalent atoms, fractional coordinates:
Y (0.0000, 0.0000, 0.1707)
Y (0.0000, 0.5000, 0.0000)
As (0.0000, 0.0000, 0.3613)
N (0.0000, 0.0000, 0.0000)


(5)
Density functional theory data (PBE) for a relaxed structure of Tb9Y2Sc.

Results
The calculation puts the formation energy at 28.5 meV per atom.

Unit cell a=5.0077 b=5.0077 c=14.9907 alpha=90.00 beta=90.00 gamma=90.00
Space group P4/mmm (No. 123)
Inequivalent atoms, fractional coordinates:
Tb (0.0000, 0.0000, 0.0000)
Tb (0.0000, 0.0000, 0.3306)
Tb (0.0000, 0.5000, 0.1616)
Tb (0.0000, 0.5000, 0.5000)
Y (0.5000, 0.5000, 0.3312)
Sc (0.5000, 0.5000, 0.0000)


(6)
Density functional theory data (PBE) for a relaxed structure of Ti4AsN2.

Results
For the energy relative to the elements, uncorrected, the calculation gives -1.35 eV per atom.

Unit cell a=3.2564 b=10.0915 c=10.6127 alpha=90.00 beta=90.00 gamma=90.00
Space group Cmcm (No. 63)
Inequivalent atoms, fractional coordinates:
Ti (0.0000, 0.0000, 0.0000)
Ti (0.0000, 0.2596, 0.1041)
Ti (0.0000, 0.4189, 0.7500)
As (0.0000, 0.1110, 0.7500)
N (0.0000, 0.3655, 0.5622)


Sequential mass density output: 4.59; 11.71; 6.68; 5.47; 7.30; 5.61 Mg/m³